1.
A relaxed structure of Mg4Tl, computed with PBE-GGA.

Cell: 5.7673 5.2118 8.6740 Å, 90.00 115.28 90.00°
Closest atoms and distances in Å follow each position.
Space group P2_1/c (No. 14)
Unique sites:
Mg: 0.0888 0.0093 0.1966 [4 per cell]  1 Tl 3.08, 8 Mg 3.08-3.41
Mg: 0.2976 0.5061 0.0962 [4 per cell]  3 Tl 3.08-3.18, 7 Mg 3.11-3.41
Tl: 0.5000 0.0000 0.0000 [2 per cell]  8 Mg 3.08-3.18

Output
- magnetic moment (μB per formula unit) = 0.0
- energy relative to the lowest polymorph listed for this composition (eV per atom) = 0.023
- energy of formation from the pure elements (meV per atom) = 4

2.
A relaxed structure of Ce6As2Se3S, computed with PBE-GGA.

Cell: 18.2417 4.1799 8.3740 Å, 90.00 103.46 90.00°
Closest atoms and distances in Å follow each position.
Space group C2/m (No. 12)
Unique sites:
Ce: 0.0000 0.0000 0.2393 [4 per cell]  2 S 2.90, 1 As 2.94, 3 Se 2.99-3.02
Ce: 0.1624 0.5000 0.0836 [4 per cell]  1 S 2.88, 2 As 2.94, 3 Se 2.98-3.00
Ce: 0.1678 0.5000 0.5809 [4 per cell]  3 As 2.94-2.95, 3 Se 2.98
As: 0.1658 0.0000 0.3324 [4 per cell]  6 Ce 2.94-2.95
Se: 0.0000 0.5000 0.5000 [2 per cell]  6 Ce 2.98-3.02
Se: 0.1684 0.0000 0.8341 [4 per cell]  6 Ce 2.98-3.00
S: 0.0000 0.5000 0.0000 [2 per cell]  6 Ce 2.88-2.90

Output
- formation energy without anion corrections (eV per atom) = -1.7354
- magnetic moment (μB per formula unit) = 5.2

3.
A relaxed structure of ZnFe2Co, computed with PBE-GGA.

Cell: 3.6043 3.6043 3.6854 Å, 90.00 90.00 90.00°
Closest atoms and distances in Å follow each position.
Space group P4/mmm (No. 123)
Unique sites:
Zn: 0.0000 0.0000 0.0000 [1 per cell]  4 Co 2.55, 8 Fe 2.58
Fe: 0.0000 0.5000 0.5000 [2 per cell]  4 Fe 2.55, 4 Co 2.58, 4 Zn 2.58
Co: 0.5000 0.5000 0.0000 [1 per cell]  4 Zn 2.55, 8 Fe 2.58

Output
- magnetic moment (μB per formula unit) = 6.6
- energy of formation from the pure elements (meV per atom) = 1

4.
A relaxed structure of HfCCl2, computed with PBE-GGA.

Cell: 3.1950 3.1950 25.0325 Å, 90.00 90.00 120.00°
Closest atoms and distances in Å follow each position.
Space group R-3m (No. 166, hexagonal axes)
Unique sites:
Hf: 0.0000 0.0000 0.0000 [3 per cell]  6 Cl 2.60
C: 0.0000 0.0000 0.5000 [3 per cell]  2 Cl 2.34
Cl: 0.0000 0.0000 0.4066 [6 per cell]  1 C 2.34, 3 Hf 2.60

Output
- formation energy without anion corrections (eV per atom) = 0.7301
- magnetic moment (μB per formula unit) = 0.0
- energy relative to the lowest polymorph listed for this composition (eV per atom) = 0.805

5.
A relaxed structure of NaAcSO5, computed with PBE-GGA.

Cell: 8.6646 9.3713 8.4886 Å, 90.00 119.06 90.00°
Closest atoms and distances in Å follow each position.
Space group C2/c (No. 15)
Unique sites:
Na: 0.0000 0.1677 0.2500 [4 per cell]  3 O 2.17-2.37
Ac: 0.0000 0.5000 0.0000 [4 per cell]  2 O 2.32
S: 0.0000 0.1465 0.7500 [4 per cell]  4 O 1.49-1.50
O: 0.0000 0.3997 0.2500 [4 per cell]  1 Na 2.17, 2 Ac 2.32
O: 0.0285 0.2373 0.6224 [8 per cell]  1 S 1.49
O: 0.1560 0.0507 0.8524 [8 per cell]  1 S 1.50

Output
- formation energy without anion corrections (eV per atom) = -2.1598
- magnetic moment (μB per formula unit) = 0.0

6.
A relaxed structure of Tm3IrO6, computed with PBE-GGA.

Cell: 9.3832 9.3832 10.6375 Å, 90.00 90.00 120.00°
Closest atoms and distances in Å follow each position.
Space group R-3 (No. 148, hexagonal axes)
Unique sites:
Tm: 0.0435 0.7777 0.2010 [18 per cell]  6 O 2.20-2.30
Ir: 0.0000 0.0000 0.0000 [3 per cell]  6 O 2.09
Ir: 0.0000 0.0000 0.5000 [3 per cell]  6 O 2.14
O: 0.0273 0.8158 0.4031 [18 per cell]  1 Ir 2.14, 3 Tm 2.20-2.30
O: 0.0291 0.8406 0.8788 [18 per cell]  1 Ir 2.09, 3 Tm 2.22-2.25

Output
- formation energy without anion corrections (eV per atom) = -2.8528
- magnetic moment (μB per formula unit) = 0.0

7.
A relaxed structure of KInAsS4, computed with PBE-GGA.

Cell: 6.9539 6.9539 9.0053 Å, 90.00 90.00 90.00°
Closest atoms and distances in Å follow each position.
Space group I-4 (No. 82)
Unique sites:
K: 0.0000 0.0000 0.0000 [2 per cell]  4 S 3.16
In: 0.0000 0.0000 0.5000 [2 per cell]  4 S 2.50
As: 0.0000 0.5000 0.2500 [2 per cell]  4 S 2.35
S: 0.1786 0.2437 0.3498 [8 per cell]  1 As 2.35, 1 In 2.50

Output
- formation energy without anion corrections (eV per atom) = -0.4421
- magnetic moment (μB per formula unit) = 0.9

8.
A relaxed structure of PSBrN2, computed with PBE-GGA.

Cell: 3.7154 3.7154 7.2591 Å, 90.00 90.00 90.00°
Closest atoms and distances in Å follow each position.
Space group P4/mmm (No. 123)
Unique sites:
P: 0.0000 0.0000 0.0000 [1 per cell]  4 S 2.63
S: 0.5000 0.5000 0.0000 [1 per cell]  4 P 2.63
Br: 0.5000 0.5000 0.5000 [1 per cell]  4 N 1.86
N: 0.0000 0.5000 0.5000 [2 per cell]  2 Br 1.86

Output
- formation energy without anion corrections (eV per atom) = 2.2824
- magnetic moment (μB per formula unit) = 1.1
- energy relative to the lowest polymorph listed for this composition (eV per atom) = 1.269

9.
A relaxed structure of Ac3CuPb, computed with PBE-GGA.

Cell: 5.7980 5.7980 5.7980 Å, 90.00 90.00 90.00°
Closest atoms and distances in Å follow each position.
Space group Pm-3m (No. 221)
Unique sites:
Ac: 0.0000 0.0000 0.5000 [3 per cell]  2 Cu 2.90
Cu: 0.0000 0.0000 0.0000 [1 per cell]  6 Ac 2.90
Pb: 0.5000 0.5000 0.5000 [1 per cell]  12 Ac 4.10

Output
- magnetic moment (μB per formula unit) = 0.0
- energy relative to the lowest polymorph listed for this composition (eV per atom) = 0.166
- energy of formation from the pure elements (meV per atom) = -81

10.
A relaxed structure of PaHRu2, computed with PBE-GGA.

Cell: 3.3396 3.3396 5.5063 Å, 90.00 90.00 90.00°
Closest atoms and distances in Å follow each position.
Space group P4/mmm (No. 123)
Unique sites:
Pa: 0.0000 0.0000 0.0000 [1 per cell]  2 H 2.75, 8 Ru 2.77
H: 0.0000 0.0000 0.5000 [1 per cell]  8 Ru 2.70, 2 Pa 2.75
Ru: 0.5000 0.5000 0.2623 [2 per cell]  2 Ru 2.62-2.89, 4 H 2.70, 4 Pa 2.77

Output
- magnetic moment (μB per formula unit) = 0.0
- energy relative to the lowest polymorph listed for this composition (eV per atom) = 0.490

11.
A relaxed structure of SrSiAsO6, computed with PBE-GGA.

Cell: 4.8590 4.8590 5.5083 Å, 90.00 90.00 120.00°
Closest atoms and distances in Å follow each position.
Space group P312 (No. 149)
Unique sites:
Sr: 0.0000 0.0000 0.0000 [1 per cell]  6 O 2.53
Si: 0.6667 0.3333 0.5000 [1 per cell]  6 O 1.80
As: 0.3333 0.6667 0.5000 [1 per cell]  6 O 1.86
O: 0.3851 0.0095 0.6868 [6 per cell]  1 Si 1.80, 1 As 1.86

Output
- formation energy without anion corrections (eV per atom) = -2.0130
- magnetic moment (μB per formula unit) = 1.1

12.
A relaxed structure of SrTa2AgPt, computed with PBE-GGA.

Cell: 4.9850 4.9850 5.0067 Å, 90.00 90.00 90.00°
Closest atoms and distances in Å follow each position.
Space group P4/mmm (No. 123)
Unique sites:
Sr: 0.0000 0.0000 0.0000 [1 per cell]  4 Ta 2.49, 2 Pt 2.50
Ta: 0.0000 0.5000 0.0000 [2 per cell]  2 Sr 2.49
Ag: 0.5000 0.5000 0.5000 [1 per cell]  4 Pt 3.52, 8 Ta 3.53
Pt: 0.0000 0.0000 0.5000 [1 per cell]  2 Sr 2.50

Output
- magnetic moment (μB per formula unit) = 0.0
- energy of formation from the pure elements (meV per atom) = 2601